1.
# YMo2W2, optimized geometry, DFT PBE
data_YMo2W2
_cell_length_a 4.384
_cell_length_b 4.384
_cell_length_c 10.598
_cell_angle_alpha 90.00
_cell_angle_beta 90.00
_cell_angle_gamma 90.00
_space_group_name_H-M_alt 'I 4/m m m'
_space_group_IT_number 139
_space_group_name_Hall '-I 4 2'
loop_
_atom_site_label
_atom_site_type_symbol
_atom_site_fract_x
_atom_site_fract_y
_atom_site_fract_z
Y1 Y 0.000 0.000 0.000
Mo1 Mo 0.000 0.500 0.250
W1 W 0.000 0.000 0.378
# - formation energy from the elements (eV/atom) = 0.41


2.
# TaAlPd6, optimized geometry, DFT PBE
data_TaAlPd6
_cell_length_a 5.018
_cell_length_b 5.024
_cell_length_c 5.028
_cell_angle_alpha 93.01
_cell_angle_beta 92.88
_cell_angle_gamma 92.84
_space_group_name_H-M_alt 'P -1'
_space_group_IT_number 2
_space_group_name_Hall '-P 1'
loop_
_atom_site_label
_atom_site_type_symbol
_atom_site_fract_x
_atom_site_fract_y
_atom_site_fract_z
Ta1 Ta 0.000 0.000 0.000
Al1 Al 0.500 0.500 0.500
Pd1 Pd 0.046 0.254 0.528
Pd2 Pd 0.254 0.527 0.047
Pd3 Pd 0.472 0.953 0.746
# - polymorph energy (0 for the lowest one) (meV per atom) = 174.4
# - formation energy from the elements (eV/atom) = -0.41


3.
# BaSiMo2, optimized geometry, DFT PBE
data_BaSiMo2
_cell_length_a 4.4296
_cell_length_b 4.4296
_cell_length_c 18.4990
_cell_angle_alpha 90.00
_cell_angle_beta 90.00
_cell_angle_gamma 120.00
_space_group_name_H-M_alt 'R 3 m'
_space_group_IT_number 160
_space_group_name_Hall 'R 3 -2"'
loop_
_atom_site_label
_atom_site_type_symbol
_atom_site_fract_x
_atom_site_fract_y
_atom_site_fract_z
Ba1 Ba 0.0000 0.0000 0.0000
Si1 Si 0.0000 0.0000 0.8202
Mo1 Mo 0.0000 0.0000 0.1897
Mo2 Mo 0.0000 0.0000 0.5034
# - formation energy from raw total energies (kJ/mol of formula units) = 81


4.
# Mg2GaGe2, optimized geometry, DFT PBE
data_Mg2GaGe2
_cell_length_a 4.558
_cell_length_b 4.558
_cell_length_c 10.870
_cell_angle_alpha 90.00
_cell_angle_beta 90.00
_cell_angle_gamma 90.00
_space_group_name_H-M_alt 'I 4/m m m'
_space_group_IT_number 139
_space_group_name_Hall '-I 4 2'
loop_
_atom_site_label
_atom_site_type_symbol
_atom_site_fract_x
_atom_site_fract_y
_atom_site_fract_z
Mg1 Mg 0.000 0.500 0.250
Ga1 Ga 0.000 0.000 0.000
Ge1 Ge 0.000 0.000 0.391
# - polymorph energy (0 for the lowest one) (meV per atom) = 51.6
# - formation energy from the elements (eV/atom) = 0.01


5.
# RbBi4Pd9, optimized geometry, DFT PBE
data_RbBi4Pd9
_cell_length_a 9.238
_cell_length_b 9.238
_cell_length_c 13.858
_cell_angle_alpha 90.00
_cell_angle_beta 90.00
_cell_angle_gamma 90.00
_space_group_name_H-M_alt 'I 4/m c m'
_space_group_IT_number 140
_space_group_name_Hall '-I 4 2c'
loop_
_atom_site_label
_atom_site_type_symbol
_atom_site_fract_x
_atom_site_fract_y
_atom_site_fract_z
Rb1 Rb 0.000 0.000 0.250
Bi1 Bi 0.178 0.322 0.123
Pd1 Pd 0.000 0.500 0.000
Pd2 Pd 0.064 0.205 0.500
Pd3 Pd 0.117 0.383 0.319
# - formation energy from the elements (eV/atom) = -0.23


6.
# ZnSbAsSe2, optimized geometry, DFT PBE
data_ZnSbAsSe2
_cell_length_a 4.917
_cell_length_b 4.917
_cell_length_c 4.861
_cell_angle_alpha 90.00
_cell_angle_beta 90.00
_cell_angle_gamma 90.00
_space_group_name_H-M_alt 'P 4/m m m'
_space_group_IT_number 123
_space_group_name_Hall '-P 4 2'
loop_
_atom_site_label
_atom_site_type_symbol
_atom_site_fract_x
_atom_site_fract_y
_atom_site_fract_z
Zn1 Zn 0.000 0.000 0.000
Sb1 Sb 0.500 0.500 0.500
As1 As 0.000 0.000 0.500
Se1 Se 0.000 0.500 0.000
# - formation energy from raw total energies (kJ/mol of formula units) = 201
# - polymorph energy (0 for the lowest one) (meV per atom) = 0.0


7.
# Pm6Ag5Pd, optimized geometry, DFT PBE
data_Pm6Ag5Pd
_cell_length_a 5.243
_cell_length_b 7.422
_cell_length_c 8.290
_cell_angle_alpha 90.00
_cell_angle_beta 108.32
_cell_angle_gamma 90.00
_space_group_name_H-M_alt 'P 1 2/m 1'
_space_group_IT_number 10
_space_group_name_Hall '-P 2y'
loop_
_atom_site_label
_atom_site_type_symbol
_atom_site_fract_x
_atom_site_fract_y
_atom_site_fract_z
Pm1 Pm 0.000 0.242 0.000
Pm2 Pm 0.338 0.247 0.676
Ag1 Ag 0.169 0.500 0.336
Ag2 Ag 0.174 0.000 0.347
Ag3 Ag 0.500 0.500 0.000
Pd1 Pd 0.500 0.000 0.000
# - formation energy from the elements (eV/atom) = -0.35


8.
# AgSn2Sb3, optimized geometry, DFT PBE
data_AgSn2Sb3
_cell_length_a 8.010
_cell_length_b 13.951
_cell_length_c 8.020
_cell_angle_alpha 90.00
_cell_angle_beta 109.50
_cell_angle_gamma 90.00
_space_group_name_H-M_alt 'C 1 c 1'
_space_group_IT_number 9
_space_group_name_Hall 'C -2yc'
loop_
_atom_site_label
_atom_site_type_symbol
_atom_site_fract_x
_atom_site_fract_y
_atom_site_fract_z
Ag1 Ag 0.000 0.084 0.000
Sn1 Sn 0.008 0.250 0.515
Sn2 Sn 0.025 0.419 0.016
Sb1 Sb 0.367 0.082 0.132
Sb2 Sb 0.392 0.254 0.630
Sb3 Sb 0.402 0.424 0.142
# - formation energy from raw total energies (kJ/mol of formula units) = 23